LiBTeOs | PBE-GGA | relaxed

Structure (POSCAR):
```
LiBTeOs
1.0
0.6125 2.1244 3.6897
0.0677 4.3008 0.0198
-3.2422 2.1938 1.7824
Os Li Te B
1 1 1 1
Direct
0.2500 0.2500 0.2500
0.7500 0.7500 0.7500
0.5000 0.5000 0.5000
0.0000 0.0000 0.0000
```

## Properties
- Total magnetization: 0.00 μB/cell
- Relative energy among the computed polymorphs: 0.00 eV/f.u.
- Total DFT energy (no corrections): -5.124 eV/atom

LiBTeOs | PBE-GGA | relaxed

Structure (POSCAR):
```
LiBTeOs
1.0
0.0000 3.0212 3.0212
3.0212 0.0000 3.0212
3.0212 3.0212 0.0000
Te Os Li B
1 1 1 1
Direct
0.5000 0.5000 0.5000
0.0000 0.0000 0.0000
0.7500 0.7500 0.7500
0.2500 0.2500 0.2500
```

## Properties
- Total magnetization: 0.06 μB/cell
- Relative energy among the computed polymorphs: 1.57 eV/f.u.
- Total DFT energy (no corrections): -4.731 eV/atom